Entry 1:
{
  "formula": "Tm4PuGa15",
  "functional": "PBE-GGA",
  "state": "optimized geometry",
  "cell": [[4.253, 0.000, 0.000], [0.000, 4.253, 0.000], [0.000, 0.000, 21.153]],
  "species": ["Tm", "Tm", "Tm", "Tm", "Pu", "Ga", "Ga", "Ga", "Ga", "Ga", "Ga", "Ga", "Ga", "Ga", "Ga", "Ga", "Ga", "Ga", "Ga", "Ga"],
  "frac_coords": [[0.000, 0.000, 0.201], [0.000, 0.000, 0.400], [0.000, 0.000, 0.600], [0.000, 0.000, 0.799], [0.000, 0.000, 0.000], [0.500, 0.500, 0.000], [0.500, 0.500, 0.200], [0.500, 0.500, 0.401], [0.500, 0.500, 0.599], [0.500, 0.500, 0.800], [0.500, 0.000, 0.100], [0.500, 0.000, 0.300], [0.500, 0.000, 0.500], [0.500, 0.000, 0.700], [0.500, 0.000, 0.900], [0.000, 0.500, 0.100], [0.000, 0.500, 0.300], [0.000, 0.500, 0.500], [0.000, 0.500, 0.700], [0.000, 0.500, 0.900]],
  "e_tot_ev_per_atom": -4.3706,
  "delta_e_f_ev_per_atom": -0.4896,
  "dos_at_fermi_per_ev_cell": 16.48
}

***

Entry 2:
{
  "formula": "Dy2Tc2Ge3",
  "functional": "PBE-GGA",
  "state": "optimized geometry",
  "cell": [[-1.023, -4.141, 0.356], [6.478, -1.847, -2.876], [-0.990, 2.923, 5.421]],
  "species": ["Dy", "Dy", "Tc", "Tc", "Ge", "Ge", "Ge"],
  "frac_coords": [[0.430, 0.186, 0.859], [0.570, 0.814, 0.141], [0.233, 0.383, 0.465], [0.767, 0.617, 0.535], [0.000, 0.000, 0.000], [0.147, 0.629, 0.295], [0.853, 0.371, 0.705]],
  "e_tot_ev_per_atom": -6.7616,
  "delta_e_f_ev_per_atom": -0.5061,
  "dos_at_fermi_per_ev_cell": 3.95
}

***

Entry 3:
{
  "formula": "Y2CrSe",
  "functional": "PBE-GGA",
  "state": "optimized geometry",
  "cell": [[5.066, 0.000, 0.000], [2.533, 4.388, 0.000], [2.533, 1.463, 4.137]],
  "species": ["Cr", "Se", "Y", "Y"],
  "frac_coords": [[0.500, 0.500, 0.500], [0.750, 0.750, 0.750], [0.000, 0.000, 0.000], [0.250, 0.250, 0.250]],
  "e_tot_ev_per_atom": -6.3071,
  "e_form_raw_ev_per_atom": 0.202,
  "dos_at_fermi_per_ev_cell": 5.31
}

***

Entry 4:
{
  "formula": "LaNd2In3",
  "functional": "PBE-GGA",
  "state": "optimized geometry",
  "cell": [[5.518, 0.000, 0.022], [2.759, 8.281, 0.011], [-0.031, 0.000, 7.799]],
  "species": ["La", "La", "Nd", "Nd", "Nd", "Nd", "In", "In", "In", "In", "In", "In"],
  "frac_coords": [[0.334, 0.333, 0.000], [0.666, 0.667, 0.000], [0.000, 0.000, 0.000], [0.000, 0.000, 0.500], [0.331, 0.337, 0.500], [0.669, 0.663, 0.500], [0.835, 0.329, 0.744], [0.500, 0.000, 0.257], [0.165, 0.671, 0.256], [0.835, 0.329, 0.256], [0.165, 0.671, 0.744], [0.500, 0.000, 0.743]],
  "e_tot_ev_per_atom": -4.2820,
  "delta_e_f_ev_per_atom": -0.5022,
  "dos_at_fermi_per_ev_cell": 5.88
}